# 1
The following is a DFT calculation (PBE-GGA) of a relaxed TbNpTl2Se4 crystal.

a = 7.3203 Å, b = 4.2160 Å, c = 8.1290 Å
α = 90.00°, β = 107.44°, γ = 90.00°
With the nearest neighbours (Å) after each atom.
Space group P2/m (No. 10)
Inequivalent atoms, fractional coordinates:
Tb: 0.0000 0.0000 0.0000 x1  6 Se 2.90
Np: 0.5000 0.5000 0.0000 x1  6 Se 2.91-2.93
Tl: 0.0000 0.5000 0.5000 x1  6 Se 3.33-3.34
Tl: 0.5000 0.0000 0.5000 x1  6 Se 3.35
Se: 0.2326 0.5000 0.2054 x2  2 Tb 2.90, 1 Np 2.93
Se: 0.2643 0.0000 0.7957 x2  1 Tb 2.90, 2 Np 2.91

For the formation energy from raw total energies, the calculation gives -26.2 kcal/mol of atoms. As for the crystal system: monoclinic. The value obtained for the density of states at the Fermi level is 0.97 states/eV per atom. Its total magnetization is 4.000 μB per cell.

# 2
The following is a DFT calculation (PBE-GGA) of a relaxed Tb2NpTl3Se6 crystal.

a = 7.3117 Å, b = 12.6615 Å, c = 8.1250 Å
α = 90.00°, β = 107.46°, γ = 90.00°
With the nearest neighbours (Å) after each atom.
Space group C2/m (No. 12)
Inequivalent atoms, fractional coordinates:
Tb: 0.0000 0.1668 0.0000 x4  6 Se 2.90
Np: 0.0000 0.5000 0.0000 x2  6 Se 2.92-2.93
Tl: 0.0000 0.0000 0.5000 x2  6 Se 3.33-3.35
Tl: 0.0000 0.3337 0.5000 x4  6 Se 3.33-3.35
Se: 0.2327 0.0000 0.2051 x4  2 Tb 2.90, 1 Np 2.92
Se: 0.2363 0.3321 0.2053 x8  2 Tb 2.90, 1 Np 2.93

For the formation energy from raw total energies, the calculation gives -28.1 kcal/mol of atoms. As for the crystal system: monoclinic. The value obtained for the density of states at the Fermi level is 0.51 states/eV per atom. Its total magnetization is 8.000 μB per cell.

# 3
The following is a DFT calculation (PBE-GGA) of a relaxed TbTmNp2Se4 crystal.

a = 7.0544 Å, b = 4.0672 Å, c = 7.0854 Å
α = 90.00°, β = 109.31°, γ = 90.00°
With the nearest neighbours (Å) after each atom.
Space group P2/m (No. 10)
Inequivalent atoms, fractional coordinates:
Tb: 0.0000 0.0000 0.0000 x1  6 Se 2.88
Tm: 0.5000 0.5000 0.0000 x1  6 Se 2.85
Np: 0.0000 0.5000 0.5000 x1  6 Se 2.91-2.92
Np: 0.5000 0.0000 0.5000 x1  6 Se 2.89
Se: 0.2519 0.5000 0.2464 x2  1 Tm 2.85, 2 Tb 2.88, 3 Np 2.89-2.91
Se: 0.2553 0.0000 0.7562 x2  2 Tm 2.85, 1 Tb 2.88, 3 Np 2.89-2.92

For the formation energy from raw total energies, the calculation gives -32.5 kcal/mol of atoms. As for the crystal system: monoclinic. The value obtained for the density of states at the Fermi level is 2.34 states/eV per atom. Its total magnetization is 9.124 μB per cell.

# 4
The following is a DFT calculation (PBE-GGA) of a relaxed NpTcSe2 crystal.

a = 3.1236 Å, b = 3.1236 Å, c = 28.0427 Å
α = 90.00°, β = 90.00°, γ = 120.00°
With the nearest neighbours (Å) after each atom.
Space group R-3m (No. 166, hexagonal axes)
Inequivalent atoms, fractional coordinates:
Np: 0.0000 0.0000 0.0000 x3  6 Se 2.91, 6 Np 3.12
Tc: 0.0000 0.0000 0.5000 x3  2 Se 2.39
Se: 0.0000 0.0000 0.4149 x6  1 Tc 2.39

For the formation energy from raw total energies, the calculation gives 3.8 kcal/mol of atoms. As for the crystal system: trigonal. The value obtained for the density of states at the Fermi level is 1.63 states/eV per atom. Its total magnetization is 9.151 μB per cell.

# 5
The following is a DFT calculation (PBE-GGA) of a relaxed NpTeSe crystal.

a = 7.0890 Å, b = 7.0890 Å, c = 7.0890 Å
α = 90.00°, β = 90.00°, γ = 90.00°
With the nearest neighbours (Å) after each atom.
Space group F-43m (No. 216)
Inequivalent atoms, fractional coordinates:
Np: 0.0000 0.0000 0.0000 x4  4 Te 3.07, 4 Se 3.07
Te: 0.2500 0.2500 0.7500 x4  4 Np 3.07
Se: 0.2500 0.2500 0.2500 x4  4 Np 3.07

For the formation energy from raw total energies, the calculation gives -16.0 kcal/mol of atoms. As for the crystal system: cubic. The value obtained for the density of states at the Fermi level is 4.29 states/eV per atom. Its total magnetization is 11.947 μB per cell.

# 6
The following is a DFT calculation (PBE-GGA) of a relaxed NpTe2Se crystal.

a = 4.4463 Å, b = 4.4463 Å, c = 26.5748 Å
α = 90.00°, β = 90.00°, γ = 120.00°
With the nearest neighbours (Å) after each atom.
Space group R-3m (No. 166, hexagonal axes)
Inequivalent atoms, fractional coordinates:
Np: 0.0000 0.0000 0.0000 x3  6 Te 3.09
Te: 0.0000 0.0000 0.3977 x6  1 Se 2.72
Se: 0.0000 0.0000 0.5000 x3  2 Te 2.72

For the formation energy from raw total energies, the calculation gives -3.2 kcal/mol of atoms. As for the crystal system: trigonal. The value obtained for the density of states at the Fermi level is 2.97 states/eV per atom. Its total magnetization is 12.182 μB per cell.

# 7
The following is a DFT calculation (PBE-GGA) of a relaxed NpTeSe crystal.

a = 4.2735 Å, b = 4.2735 Å, c = 17.3611 Å
α = 90.00°, β = 90.00°, γ = 90.00°
With the nearest neighbours (Å) after each atom.
Space group I4/mmm (No. 139)
Inequivalent atoms, fractional coordinates:
Np: 0.0000 0.0000 0.1513 x4  5 Se 2.90-3.07
Te: 0.0000 0.5000 0.0000 x4  4 Te 3.02
Se: 0.0000 0.0000 0.3182 x4  5 Np 2.90-3.07

For the formation energy from raw total energies, the calculation gives -18.3 kcal/mol of atoms. As for the crystal system: tetragonal. The value obtained for the density of states at the Fermi level is 3.06 states/eV per atom. Its total magnetization is 16.706 μB per cell.

# 8
The following is a DFT calculation (PBE-GGA) of a relaxed Np2TeSe2 crystal.

a = 4.2553 Å, b = 5.6732 Å, c = 13.4254 Å
α = 90.00°, β = 90.00°, γ = 90.00°
With the nearest neighbours (Å) after each atom.
Space group Immm (No. 71)
Inequivalent atoms, fractional coordinates:
Np: 0.0000 0.0000 0.1673 x4  4 Se 2.85-2.87, 2 Te 3.09
Te: 0.0000 0.5000 0.5000 x2  4 Np 3.09
Se: 0.0000 0.5000 0.1893 x4  4 Np 2.85-2.87

For the formation energy from raw total energies, the calculation gives -22.7 kcal/mol of atoms. As for the crystal system: orthorhombic. The value obtained for the density of states at the Fermi level is 4.12 states/eV per atom. Its total magnetization is 16.000 μB per cell.

# 9
The following is a DFT calculation (PBE-GGA) of a relaxed NpTeSe crystal.

a = 4.8951 Å, b = 4.8951 Å, c = 25.5435 Å
α = 90.00°, β = 90.00°, γ = 120.00°
With the nearest neighbours (Å) after each atom.
Space group R-3m (No. 166, hexagonal axes)
Inequivalent atoms, fractional coordinates:
Np: 0.0000 0.0000 0.2398 x6  4 Se 2.88-2.95, 3 Te 3.14
Te: 0.0000 0.0000 0.3735 x6  4 Np 3.14-3.42, 3 Te 3.49
Se: 0.0000 0.0000 0.1269 x6  4 Np 2.88-2.95

For the formation energy from raw total energies, the calculation gives -17.3 kcal/mol of atoms. As for the crystal system: trigonal. The value obtained for the density of states at the Fermi level is 4.03 states/eV per atom. Its total magnetization is 17.875 μB per cell.

# 10
The following is a DFT calculation (PBE-GGA) of a relaxed NpTeSe crystal.

a = 3.8045 Å, b = 3.8045 Å, c = 10.3173 Å
α = 90.00°, β = 90.00°, γ = 90.00°
With the nearest neighbours (Å) after each atom.
Space group I4mm (No. 107)
Inequivalent atoms, fractional coordinates:
Np: 0.0000 0.0000 0.0000 x2  4 Se 3.00, 4 Te 3.20
Te: 0.0000 0.0000 0.3323 x2  5 Se 3.06-3.41, 5 Np 3.20-3.43
Se: 0.0000 0.0000 0.6290 x2  4 Np 3.00, 1 Te 3.06

For the formation energy from raw total energies, the calculation gives -17.4 kcal/mol of atoms. As for the crystal system: tetragonal. The value obtained for the density of states at the Fermi level is 2.16 states/eV per atom. Its total magnetization is 6.889 μB per cell.

# 11
The following is a DFT calculation (PBE-GGA) of a relaxed Np3TeSe3 crystal.

a = 8.8806 Å, b = 8.8806 Å, c = 17.2250 Å
α = 90.00°, β = 90.00°, γ = 120.00°
With the nearest neighbours (Å) after each atom.
Space group R-3 (No. 148, hexagonal axes)
Inequivalent atoms, fractional coordinates:
Np: 0.0084 0.6388 0.4234 x18  5 Se 2.87-3.15, 2 Te 3.10-3.14
Te: 0.0000 0.0000 0.1624 x6  6 Np 3.10-3.14
Se: 0.0069 0.7220 0.5911 x18  5 Np 2.87-3.15

For the formation energy from raw total energies, the calculation gives -22.3 kcal/mol of atoms. As for the crystal system: trigonal. The value obtained for the density of states at the Fermi level is 3.84 states/eV per atom. Its total magnetization is 78.007 μB per cell.

# 12
The following is a DFT calculation (PBE-GGA) of a relaxed NpTeSe4 crystal.

a = 6.9584 Å, b = 6.8328 Å, c = 6.9492 Å
α = 90.00°, β = 96.81°, γ = 90.00°
With the nearest neighbours (Å) after each atom.
Space group P2_1/c (No. 14)
Inequivalent atoms, fractional coordinates:
Np: 0.0000 0.0000 0.0000 x2  8 Se 2.81-3.08
Te: 0.5000 0.0000 0.5000 x2  6 Se 2.76-2.96
Se: 0.2005 0.2165 0.3092 x4  1 Te 2.76, 2 Np 2.81-2.84
Se: 0.2676 0.7240 0.2541 x4  2 Te 2.90-2.96, 2 Np 3.06-3.08, 1 Se 3.24

For the formation energy from raw total energies, the calculation gives -9.4 kcal/mol of atoms. As for the crystal system: monoclinic. The value obtained for the density of states at the Fermi level is 1.66 states/eV per atom. Its total magnetization is 6.007 μB per cell.

# 13
The following is a DFT calculation (PBE-GGA) of a relaxed Np2TeSe3 crystal.

a = 4.1831 Å, b = 4.1831 Å, c = 8.3711 Å
α = 90.00°, β = 90.00°, γ = 90.00°
With the nearest neighbours (Å) after each atom.
Space group P-4m2 (No. 115)
Inequivalent atoms, fractional coordinates:
Np: 0.0000 0.5000 0.2144 x2  7 Se 2.95-3.18, 2 Te 3.18
Te: 0.0000 0.0000 0.5000 x1  4 Se 2.96, 4 Np 3.18
Se: 0.0000 0.5000 0.8617 x2  5 Np 2.95-3.03
Se: 0.5000 0.5000 0.5000 x1  4 Te 2.96, 4 Np 3.18

For the formation energy from raw total energies, the calculation gives -21.7 kcal/mol of atoms. As for the crystal system: tetragonal. The value obtained for the density of states at the Fermi level is 2.73 states/eV per atom. Its total magnetization is 8.037 μB per cell.

# 14
The following is a DFT calculation (PBE-GGA) of a relaxed NpTeSe crystal.

a = 4.7765 Å, b = 4.7765 Å, c = 4.1223 Å
α = 90.00°, β = 90.00°, γ = 120.00°
With the nearest neighbours (Å) after each atom.
Space group P-6m2 (No. 187)
Inequivalent atoms, fractional coordinates:
Np: 0.0000 0.0000 0.0000 x1  3 Se 2.76
Te: 0.3333 0.6667 0.5000 x1  6 Np 3.44, 6 Se 3.44
Se: 0.6667 0.3333 0.0000 x1  3 Np 2.76

For the formation energy from raw total energies, the calculation gives -14.4 kcal/mol of atoms. As for the crystal system: hexagonal. The value obtained for the density of states at the Fermi level is 3.00 states/eV per atom. Its total magnetization is 3.171 μB per cell.

# 15
The following is a DFT calculation (PBE-GGA) of a relaxed NpTeSe3 crystal.

a = 7.0402 Å, b = 4.2486 Å, c = 13.1480 Å
α = 90.00°, β = 97.29°, γ = 90.00°
With the nearest neighbours (Å) after each atom.
Space group P2_1/m (No. 11)
Inequivalent atoms, fractional coordinates:
Np: 0.2385 0.2500 0.4509 x2  6 Se 2.79-2.87
Te: 0.3241 0.2500 0.8812 x2  2 Se 2.57
Se: 0.0228 0.2500 0.6153 x2  3 Np 2.79-2.87
Se: 0.2503 0.7500 0.9786 x2  2 Te 2.57
Se: 0.4685 0.7500 0.3843 x2  3 Np 2.80-2.87

For the formation energy from raw total energies, the calculation gives -11.4 kcal/mol of atoms. As for the crystal system: monoclinic. The value obtained for the density of states at the Fermi level is 1.94 states/eV per atom. Its total magnetization is 6.210 μB per cell.

# 16
The following is a DFT calculation (PBE-GGA) of a relaxed Np3Tl3TeSe8 crystal.

a = 8.4392 Å, b = 8.4392 Å, c = 23.3252 Å
α = 90.00°, β = 90.00°, γ = 120.00°
With the nearest neighbours (Å) after each atom.
Space group R-3m (No. 166, hexagonal axes)
Inequivalent atoms, fractional coordinates:
Np: 0.0000 0.5000 0.0000 x9  6 Se 2.90
Tl: 0.0000 0.5000 0.5000 x9  6 Se 3.36-3.37
Te: 0.0000 0.0000 0.0000 x3  6 Se 2.88
Se: 0.0000 0.0000 0.2657 x6  3 Np 2.90
Se: 0.0019 0.5010 0.7334 x18  1 Te 2.88, 2 Np 2.90

For the formation energy from raw total energies, the calculation gives -16.4 kcal/mol of atoms. As for the crystal system: trigonal. The value obtained for the density of states at the Fermi level is 2.05 states/eV per atom. Its total magnetization is 35.926 μB per cell.

# 17
The following is a DFT calculation (PBE-GGA) of a relaxed Np2Tl3TeSe6 crystal.

a = 7.5061 Å, b = 12.6206 Å, c = 7.8323 Å
α = 90.00°, β = 102.86°, γ = 90.00°
With the nearest neighbours (Å) after each atom.
Space group C2/m (No. 12)
Inequivalent atoms, fractional coordinates:
Np: 0.0000 0.1787 0.0000 x4  6 Se 2.80-2.89
Tl: 0.0000 0.0000 0.5000 x2  6 Se 3.26-3.47
Tl: 0.0000 0.3590 0.5000 x4  4 Se 3.08-3.31
Te: 0.0000 0.5000 0.0000 x2  2 Se 2.85
Se: 0.2033 0.0000 0.1731 x4  1 Te 2.85, 2 Np 2.89
Se: 0.2263 0.2017 0.7630 x8  2 Np 2.80-2.87, 1 Tl 3.08

For the formation energy from raw total energies, the calculation gives -14.3 kcal/mol of atoms. As for the crystal system: monoclinic. The value obtained for the density of states at the Fermi level is 1.84 states/eV per atom. Its total magnetization is 10.953 μB per cell.

# 18
The following is a DFT calculation (PBE-GGA) of a relaxed Np2Tl2TeSe6 crystal.

a = 7.2694 Å, b = 12.5977 Å, c = 8.1071 Å
α = 90.00°, β = 107.50°, γ = 90.00°
With the nearest neighbours (Å) after each atom.
Space group C2/m (No. 12)
Inequivalent atoms, fractional coordinates:
Np: 0.0000 0.1677 0.0000 x4  6 Se 2.88-2.90
Tl: 0.0000 0.3318 0.5000 x4  6 Se 3.28-3.35
Te: 0.0000 0.5000 0.0000 x2  6 Se 2.86-2.93
Se: 0.2368 0.0000 0.2004 x4  1 Te 2.86, 2 Np 2.90
Se: 0.2390 0.3312 0.2059 x8  2 Np 2.88, 1 Te 2.93

For the formation energy from raw total energies, the calculation gives -14.8 kcal/mol of atoms. As for the crystal system: monoclinic. The value obtained for the density of states at the Fermi level is 1.66 states/eV per atom. Its total magnetization is 15.896 μB per cell.

# 19
The following is a DFT calculation (PBE-GGA) of a relaxed Np2TlTe4Se crystal.

a = 4.1694 Å, b = 15.2225 Å, c = 14.7184 Å
α = 90.00°, β = 90.00°, γ = 90.00°
With the nearest neighbours (Å) after each atom.
Space group Cmcm (No. 63)
Inequivalent atoms, fractional coordinates:
Np: 0.0000 0.1136 0.1109 x8  2 Se 2.92, 5 Te 3.16-3.21
Tl: 0.0000 0.3090 0.2500 x4  6 Te 3.04-3.33
Te: 0.0000 0.0453 0.7500 x4  2 Tl 3.04, 2 Np 3.17, 2 Se 3.24
Te: 0.0000 0.2291 0.5781 x8  2 Te 3.17, 3 Np 3.21-3.29, 2 Tl 3.33, 1 Se 3.44
Te: 0.0000 0.5000 0.0000 x4  4 Np 3.16
Se: 0.0000 0.3826 0.7500 x4  4 Np 2.92, 2 Te 3.24

For the formation energy from raw total energies, the calculation gives -12.1 kcal/mol of atoms. As for the crystal system: orthorhombic. The value obtained for the density of states at the Fermi level is 2.69 states/eV per atom. Its total magnetization is 28.442 μB per cell.

# 20
The following is a DFT calculation (PBE-GGA) of a relaxed YNpTeSe2 crystal.

a = 4.5667 Å, b = 4.5667 Å, c = 13.9768 Å
α = 90.00°, β = 90.00°, γ = 90.00°
With the nearest neighbours (Å) after each atom.
Space group I4mm (No. 107)
Inequivalent atoms, fractional coordinates:
Y: 0.0000 0.0000 0.0000 x2  4 Se 2.79
Np: 0.0000 0.0000 0.2621 x2  4 Se 2.86
Te: 0.0000 0.0000 0.6380 x2  4 Np 3.67, 4 Y 3.76
Se: 0.0000 0.5000 0.3850 x4  2 Y 2.79, 2 Np 2.86

For the formation energy from raw total energies, the calculation gives -22.7 kcal/mol of atoms. As for the crystal system: tetragonal. The value obtained for the density of states at the Fermi level is 2.15 states/eV per atom. Its total magnetization is 8.000 μB per cell.